1.
# K2CuOs SCAN single point on PBEsol structure
# Size of the total moment ... 1.36 μB/cell
# Energy ... -1.8029 Ry/atom
data_K2CuOs
_chemical_formula_sum 'K4 Cu2 Os2'
_cell_length_a 3.870
_cell_length_b 3.870
_cell_length_c 10.576
_cell_angle_alpha 90.00
_cell_angle_beta 90.00
_cell_angle_gamma 90.00
_symmetry_space_group_name_H-M 'I 4/m m m'
_symmetry_Int_Tables_number 139
_symmetry_space_group_name_Hall '-I 4 2'
loop_
_atom_site_label
_atom_site_fract_x
_atom_site_fract_y
_atom_site_fract_z
K1 0.000 0.500 0.250
Cu1 0.000 0.000 0.000
Os1 0.000 0.000 0.500


2.
# K2SrCuOs SCAN single point on PBEsol structure
# Size of the total moment ... 2.51 μB/cell
# Energy ... -1.7509 Ry/atom
data_K2SrCuOs
_chemical_formula_sum 'K2 Sr1 Cu1 Os1'
_cell_length_a 5.442
_cell_length_b 5.442
_cell_length_c 5.880
_cell_angle_alpha 90.00
_cell_angle_beta 90.00
_cell_angle_gamma 90.00
_symmetry_space_group_name_H-M 'P 4/m m m'
_symmetry_Int_Tables_number 123
_symmetry_space_group_name_Hall '-P 4 2'
loop_
_atom_site_label
_atom_site_fract_x
_atom_site_fract_y
_atom_site_fract_z
K1 0.000 0.500 0.000
Sr1 0.000 0.000 0.500
Cu1 0.000 0.000 0.000
Os1 0.500 0.500 0.500


3.
# KCuP3 SCAN single point on PBEsol structure
# Size of the total moment ... 0.00 μB/cell
# Energy ... -0.7649 Ry/atom
data_KCuP3
_chemical_formula_sum 'K1 Cu1 P3'
_cell_length_a 4.618
_cell_length_b 4.618
_cell_length_c 4.618
_cell_angle_alpha 90.00
_cell_angle_beta 90.00
_cell_angle_gamma 90.00
_symmetry_space_group_name_H-M 'P m -3 m'
_symmetry_Int_Tables_number 221
_symmetry_space_group_name_Hall '-P 4 2 3'
loop_
_atom_site_label
_atom_site_fract_x
_atom_site_fract_y
_atom_site_fract_z
K1 0.000 0.000 0.000
Cu1 0.500 0.500 0.500
P1 0.000 0.500 0.500


4.
# K2CuPb SCAN single point on PBEsol structure
# Size of the total moment ... 0.00 μB/cell
# Energy ... -1.9787 Ry/atom
data_K2CuPb
_chemical_formula_sum 'K4 Cu2 Pb2'
_cell_length_a 4.309
_cell_length_b 5.935
_cell_length_c 10.633
_cell_angle_alpha 90.00
_cell_angle_beta 90.00
_cell_angle_gamma 90.00
_symmetry_space_group_name_H-M 'I m m 2'
_symmetry_Int_Tables_number 44
loop_
_symmetry_equiv_pos_as_xyz
'x,y,z'
'-x,-y,z'
'-x,y,z'
'x,-y,z'
'x+1/2,y+1/2,z+1/2'
'-x+1/2,-y+1/2,z+1/2'
'-x+1/2,y+1/2,z+1/2'
'x+1/2,-y+1/2,z+1/2'
loop_
_atom_site_label
_atom_site_fract_x
_atom_site_fract_y
_atom_site_fract_z
K1 0.000 0.000 0.000
K2 0.000 0.500 0.190
Cu1 0.000 0.000 0.415
Pb1 0.000 0.500 0.789


5.
# K2CuPb SCAN single point on PBEsol structure
# Size of the total moment ... 0.02 μB/cell
# Energy ... -1.9702 Ry/atom
data_K2CuPb
_chemical_formula_sum 'K2 Cu1 Pb1'
_cell_length_a 3.769
_cell_length_b 3.769
_cell_length_c 10.100
_cell_angle_alpha 90.00
_cell_angle_beta 90.00
_cell_angle_gamma 90.00
_symmetry_space_group_name_H-M 'P 4 m m'
_symmetry_Int_Tables_number 99
loop_
_symmetry_equiv_pos_as_xyz
'x,y,z'
'-y,x,z'
'-x,-y,z'
'y,-x,z'
'-x,y,z'
'y,x,z'
'x,-y,z'
'-y,-x,z'
loop_
_atom_site_label
_atom_site_fract_x
_atom_site_fract_y
_atom_site_fract_z
K1 0.000 0.000 0.000
K2 0.500 0.500 0.401
Cu1 0.000 0.000 0.661
Pb1 0.500 0.500 0.740


6.
# KCuPb SCAN single point on PBEsol structure
# Size of the total moment ... 0.00 μB/cell
# Energy ... -2.4269 Ry/atom
data_KCuPb
_chemical_formula_sum 'K2 Cu2 Pb2'
_cell_length_a 3.687
_cell_length_b 3.687
_cell_length_c 12.289
_cell_angle_alpha 90.00
_cell_angle_beta 90.00
_cell_angle_gamma 90.00
_symmetry_space_group_name_H-M 'I 4 m m'
_symmetry_Int_Tables_number 107
_symmetry_space_group_name_Hall 'I 4 -2'
loop_
_atom_site_label
_atom_site_fract_x
_atom_site_fract_y
_atom_site_fract_z
K1 0.000 0.000 0.000
Cu1 0.000 0.000 0.287
Pb1 0.000 0.000 0.718